FePO4, optimized geometry, DFT GGA+U; total energy = -7.107 eV/atom; total moment = 4.975 Bohr magnetons per cell
1.0
5.230 0.000 0.000
-2.615 4.666 0.003
0.000 2.928 4.333
O P Fe
4 1 1
direct
0.334 0.227 0.784
0.989 0.773 0.334
0.893 0.227 0.989
0.784 0.773 0.893
0.000 0.000 0.000
0.750 0.500 0.750